No. 1
Crystalline Tm2GeSb at its relaxed geometry, computed with GGA-PBE.

POSCAR file:
```
Tm2GeSb
1.0
2.061 1.190 7.179
-2.061 1.190 7.179
0.000 -2.380 7.179
Tm Ge Sb
2 1 1
Cartesian
0.000 0.000 5.264
0.000 0.000 16.275
0.000 0.000 10.769
0.000 0.000 0.000
```

Relative energy among the computed polymorphs ... 57 meV/atom
Uncorrected formation energy ... -0.838 eV per atom
E ... -5.258 eV per atom

---

No. 2
Crystalline Tm5GeSb4 at its relaxed geometry, computed with GGA-PBE.

POSCAR file:
```
Tm5GeSb4
1.0
-4.795 4.795 3.037
4.795 -4.795 3.037
4.795 4.795 -3.037
Tm Ge Sb
5 1 4
Cartesian
0.000 0.000 0.000
5.738 2.047 0.000
2.047 3.853 0.000
2.748 0.943 3.037
-0.943 2.748 3.037
0.000 0.000 3.037
2.906 0.906 0.000
3.889 -1.889 3.037
0.906 6.685 0.000
1.889 3.889 3.037
```

Uncorrected formation energy ... -0.970 eV per atom
E ... -5.317 eV per atom

---

No. 3
Crystalline Tm3GeSb at its relaxed geometry, computed with GGA-PBE.

POSCAR file:
```
Tm3GeSb
1.0
6.162 0.000 0.000
1.671 5.953 0.000
2.213 1.581 7.092
Tm Ge Sb
6 2 2
Cartesian
1.177 1.137 0.259
2.638 1.313 3.861
3.799 4.040 1.680
6.247 3.494 5.413
7.408 6.221 3.231
8.869 6.397 6.833
6.088 6.411 5.912
3.958 1.123 1.180
3.261 4.306 4.725
6.785 3.228 2.368
```

Uncorrected formation energy ... -0.749 eV per atom
E ... -5.180 eV per atom

---

No. 4
Crystalline U2GeSb at its relaxed geometry, computed with GGA-PBE.

POSCAR file:
```
U2GeSb
1.0
3.503 0.000 0.000
0.000 3.503 0.000
0.000 0.000 7.734
U Ge Sb
2 1 1
Cartesian
0.000 0.000 1.768
0.000 0.000 5.966
1.751 1.751 0.000
1.751 1.751 3.867
```

Relative energy among the computed polymorphs ... 0 meV/atom
Uncorrected formation energy ... -0.123 eV per atom
E ... -7.952 eV per atom

---

No. 5
Crystalline UGe2Sb at its relaxed geometry, computed with GGA-PBE.

POSCAR file:
```
UGe2Sb
1.0
4.438 0.000 0.000
0.000 4.438 0.000
0.000 0.000 4.206
U Ge Sb
1 2 1
Cartesian
0.000 0.000 0.000
0.000 2.219 2.103
2.219 0.000 2.103
2.219 2.219 0.000
```

Relative energy among the computed polymorphs ... 0 meV/atom
Uncorrected formation energy ... -0.217 eV per atom
E ... -6.378 eV per atom

---

No. 6
Crystalline UGe2Sb at its relaxed geometry, computed with GGA-PBE.

POSCAR file:
```
UGe2Sb
1.0
1.546 0.893 10.709
-1.546 0.893 10.709
0.000 -1.786 10.709
U Ge Sb
1 2 1
Cartesian
0.000 0.000 0.000
0.000 0.000 13.187
0.000 0.000 18.940
0.000 0.000 16.063
```

Relative energy among the computed polymorphs ... 347 meV/atom
Uncorrected formation energy ... 0.131 eV per atom
E ... -6.031 eV per atom

---

uncorrected formation energy of number 6 (UGe2Sb)?
0.131 eV per atom